(1)
NaSr2Bi4 | PBE-GGA | relaxed

```
7
Lattice="0.000 4.941 5.017 4.937 0.000 5.017 4.937 4.941 0.000" Properties=species:S:1:pos:R:3 pbc="T T T"
Na 0.000 0.000 0.000
Sr 2.469 2.470 0.000
Sr 2.469 2.470 5.017
Bi 2.469 0.000 2.509
Bi 4.937 2.470 2.509
Bi 0.000 2.470 2.509
Bi 2.469 4.941 2.509
```

The calculation puts the energy relative to the elements at -0.526 eV/atom. The value obtained for the total DFT energy (no corrections) is -3.41 eV per atom. The density of states at the Fermi level is 3.11 states/eV/f.u. Its crystal system is orthorhombic.

***

(2)
PrDyGe2 | PBE-GGA | relaxed

```
4
Lattice="2.345 1.354 5.440 -2.345 1.354 5.440 0.000 -2.708 5.440" Properties=species:S:1:pos:R:3 pbc="T T T"
Pr 0.000 0.000 0.000
Dy 0.000 0.000 8.161
Ge 0.000 0.000 3.940
Ge 0.000 0.000 12.382
```

The calculation puts the energy relative to the elements at -0.672 eV/atom. The value obtained for the total DFT energy (no corrections) is -5.33 eV per atom. The density of states at the Fermi level is 2.72 states/eV/f.u. Its crystal system is trigonal.

***

(3)
Li5Mg5Cd2 | PBE-GGA | relaxed

```
12
Lattice="7.090 -2.447 0.000 7.090 2.447 0.000 -4.507 0.000 6.926" Properties=species:S:1:pos:R:3 pbc="T T T"
Li 0.000 0.000 0.000
Li -0.751 0.000 2.766
Li 2.482 0.000 1.523
Li 7.191 0.000 5.402
Li 10.423 0.000 4.160
Mg 1.650 0.000 4.466
Mg 5.513 0.000 0.524
Mg 4.836 0.000 3.463
Mg 4.159 0.000 6.402
Mg 8.023 0.000 2.459
Cd -1.372 0.000 5.573
Cd 11.045 0.000 1.353
```

The calculation puts the energy relative to the elements at -0.122 eV/atom. The value obtained for the total DFT energy (no corrections) is -1.74 eV per atom. The density of states at the Fermi level is 4.26 states/eV/f.u. Its crystal system is monoclinic.

***

(4)
Ba4TcN5 | PBE-GGA | relaxed

```
10
Lattice="-4.190 4.190 2.930 4.190 -4.190 2.930 4.190 4.190 -2.930" Properties=species:S:1:pos:R:3 pbc="T T T"
Ba 2.502 1.032 0.000
Ba 3.157 -1.688 2.930
Ba 1.032 5.878 0.000
Ba 1.688 3.157 2.930
Tc 0.000 0.000 3.344
N 4.802 2.272 0.001
N 2.272 3.577 0.001
N 1.918 0.612 2.932
N -0.612 1.918 2.932
N 0.000 0.000 5.121
```

The value obtained for the total DFT energy (no corrections) is -6.32 eV per atom. The value obtained for the raw formation energy is -354 meV per atom. Its crystal system is tetragonal.

***

(5)
Nd2LuTe | PBE-GGA | relaxed

```
4
Lattice="4.049 0.000 0.000 0.000 4.049 0.000 0.000 0.000 7.527" Properties=species:S:1:pos:R:3 pbc="T T T"
Nd 0.000 0.000 1.751
Nd 0.000 0.000 5.776
Lu 2.025 2.025 3.763
Te 2.025 2.025 0.000
```

The value obtained for the total DFT energy (no corrections) is -4.87 eV per atom. The density of states at the Fermi level is 4.99 states/eV/f.u. The value obtained for the raw formation energy is -573 meV per atom. Its crystal system is tetragonal.

***

(6)
Ca2ScAgHg | PBE-GGA | relaxed

```
5
Lattice="5.552 0.000 0.000 0.000 5.552 0.000 0.000 0.000 5.245" Properties=species:S:1:pos:R:3 pbc="T T T"
Ca 0.000 2.776 0.000
Ca 2.776 0.000 0.000
Sc 0.000 0.000 2.623
Ag 2.776 2.776 0.000
Hg 2.776 2.776 2.623
```

The calculation puts the energy relative to the elements at 0.255 eV/atom. The value obtained for the total DFT energy (no corrections) is -2.44 eV per atom. The density of states at the Fermi level is 4.22 states/eV/f.u. Its crystal system is tetragonal.

***

Which of these has the lowest total DFT energy (no corrections)?
Ba4TcN5